Entry 1:
Te2WBr | PBE | relaxed

D(E_F) = 2.17 states/eV/cell
Formation energy (no corrections) = 0.071 eV per atom
Theoretical density = 8.7 g/cm³
Offset from the most stable computed form = 0.0 meV per atom
Magnetization = 0.0 μB per cell

Cell: 3.6221 3.6221 8.9925 Å, 78.40 78.40 59.95°
Positions (direct):
1 Te 0.4858 0.4858 0.5420
2 W 0.7500 0.7500 0.7500
3 Br 0.2500 0.2500 0.2500
4 Te 0.0142 0.0142 0.9580



Entry 2:
Ce2Pr3NdAs6 | PBE | relaxed

Calculated formation energy = -1486 meV per atom
D(E_F) = 11.48 states/eV/cell
Theoretical density = 6.5 g/cm³
Magnetization = 1.2 μB per cell

Cell: 7.3943 7.3943 7.3978 Å, 99.59 99.59 119.99°
Each line ends with the local moment (μB).
Positions (direct):
1 Nd 0.0000 0.0000 0.0000  0.01
2 As 0.7436 0.7436 0.2434  -0.01
3 Ce 0.6669 0.3331 0.0000  0.54
4 As 0.9188 0.5814 0.7568  -0.01
5 As 0.2564 0.2564 0.7566  -0.01
6 Pr 0.1658 0.8342 0.5000  0.01
7 As 0.4186 0.0812 0.2432  -0.01
8 As 0.5814 0.9188 0.7568  -0.01
9 Pr 0.5000 0.5000 0.5000  0.01
10 As 0.0812 0.4186 0.2432  -0.01
11 Ce 0.3331 0.6669 0.0000  0.54
12 Pr 0.8342 0.1658 0.5000  0.01



Entry 3:
Ti2CuN | PBE | relaxed

D(E_F) = 5.71 states/eV/cell
Formation energy (no corrections) = -0.471 eV per atom
Theoretical density = 5.1 g/cm³
Magnetization = 0.0 μB per cell

Cell: 5.8221 5.8221 5.3001 Å, 56.68 56.68 90.00°
Positions (direct):
1 Ti 0.5484 0.1250 0.2500
2 Ti 0.3750 0.4516 0.7500
3 N 0.5000 0.5000 0.0000
4 Ti 0.2016 0.6250 0.2500
5 Cu 0.0000 0.0000 0.0000
6 Ti 0.8750 0.7984 0.7500
7 Cu 0.7500 0.2500 0.5000
8 N 0.2500 0.7500 0.5000



Entry 4:
CuNi2Rh | PBE | relaxed

Calculated formation energy = 51 meV per atom
D(E_F) = 4.47 states/eV/cell
Theoretical density = 9.7 g/cm³
Magnetization = 1.8 μB per cell

Cell: 4.4753 4.4753 4.4753 Å, 132.08 132.08 70.10°
Each line ends with the local moment (μB).
Positions (direct):
1 Cu 0.7500 0.2500 0.5000  0.07
2 Ni 0.2500 0.7500 0.5000  0.68
3 Ni 0.0000 0.0000 0.0000  0.59
4 Rh 0.5000 0.5000 0.0000  0.57



Entry 5:
Ac2HRh | PBE | relaxed

D(E_F) = 0.93 states/eV/cell
Theoretical density = 8.9 g/cm³
Offset from the most stable computed form = 0.0 meV per atom
Magnetization = 0.0 μB per cell

Cell: 4.2593 4.2593 7.0841 Å, 72.51 72.51 60.00°
Positions (direct):
1 H 0.5000 0.5000 0.5000
2 Rh 0.0000 0.0000 0.0000
3 Ac 0.7508 0.7508 0.7475
4 Ac 0.2492 0.2492 0.2525